1.
First-principles (PBE) data for crystalline TlSn3Pb at its relaxed geometry, as listed in Alexandria via LeMat-Bulk.

Lattice parameters (Å, degrees): 5.712 5.712 5.712 90.00 90.00 90.00
Space group Pm-3m (No. 221)
Asymmetric unit:
Tl 0.000 0.000 0.000 (multiplicity 1)
Sn 0.000 0.000 0.500 (multiplicity 3)
Pb 0.500 0.500 0.500 (multiplicity 1)

Summary:
As for the formation enthalpy at 0 K: 628.1 meV/atom. The energy above the lowest structure with this stoichiometry comes out at 582.6 meV/atom. The density of states at the Fermi level comes out at 3.0 states/eV per cell.

2.
First-principles (PBE) data for crystalline Tl15Sn4Pb at its relaxed geometry, as listed in Alexandria via LeMat-Bulk.

Lattice parameters (Å, degrees): 5.247 5.247 21.732 90.00 90.00 90.00
Space group P4/mmm (No. 123)
Asymmetric unit:
Tl 0.000 0.000 0.000 (multiplicity 1)
Tl 0.000 0.000 0.202 (multiplicity 2)
Tl 0.000 0.000 0.401 (multiplicity 2)
Tl 0.000 0.500 0.103 (multiplicity 4)
Tl 0.000 0.500 0.301 (multiplicity 4)
Tl 0.000 0.500 0.500 (multiplicity 2)
Sn 0.500 0.500 0.201 (multiplicity 2)
Sn 0.500 0.500 0.400 (multiplicity 2)
Pb 0.500 0.500 0.000 (multiplicity 1)

Summary:
As for the formation enthalpy at 0 K: 19.3 meV/atom. The density of states at the Fermi level comes out at 3.5 states/eV per cell.

3.
First-principles (PBE) data for crystalline Tl6Sn3Pb at its relaxed geometry, as listed in Alexandria via LeMat-Bulk.

Lattice parameters (Å, degrees): 3.489 12.859 13.797 79.46 89.40 89.78
Space group P-1 (No. 2)
Asymmetric unit:
Tl 0.225 0.274 0.289 (multiplicity 2)
Tl 0.245 0.003 0.302 (multiplicity 2)
Tl 0.248 0.235 0.694 (multiplicity 2)
Tl 0.248 0.303 0.922 (multiplicity 2)
Tl 0.258 0.839 0.883 (multiplicity 2)
Tl 0.262 0.623 0.519 (multiplicity 2)
Sn 0.247 0.931 0.089 (multiplicity 2)
Sn 0.256 0.108 0.500 (multiplicity 2)
Sn 0.262 0.566 0.908 (multiplicity 2)
Pb 0.249 0.536 0.273 (multiplicity 2)

Summary:
As for the formation enthalpy at 0 K: 39.8 meV/atom. The density of states at the Fermi level comes out at 7.9 states/eV per cell.